La2Nd2CBr2Cl3 | PBE | relaxed

Cell and atoms, written as extended XYZ:
```
10
Lattice="9.0226 -1.9754 0.0000 9.0226 1.9754 0.0000 -1.9671 0.0000 7.9189" Properties=species:S:1:pos:R:3 pbc="T T T"
Br 2.2404 0.0000 2.9183
Br 13.8376 0.0000 5.0006
C 9.0226 0.0000 0.0000
Cl 14.6740 0.0000 1.3057
Cl 8.0390 0.0000 3.9595
Cl 1.4040 0.0000 6.6133
La 11.5080 0.0000 0.6744
La 4.5701 0.0000 7.2446
Nd 17.5737 0.0000 1.6786
Nd -1.4957 0.0000 6.2403
```

Values from the calculation:
For the excess energy over the best structure of this formula in the dataset, the calculation gives 0.5 kJ/mol of atoms. Its space group is C2/m (12). The value obtained for the volume is 28.23 Å³/atom. As for the total magnetization: 0.038 μB per atom.